The following is a PBE calculation of a geometry-optimized Pm4Pr2Dy3 structure, from Alexandria.

## Properties
Calculated volume (Å³ per cell): 310
Raw total energy (Ry per atom): -0.3420
Magnetic moment (μB per cell): 0.01
ΔH_f (0 K) (kJ/mol of formula units): 47
Energy above the lowest structure with this stoichiometry (meV/atom): 0.0

a = 3.6394 Å, b = 3.6394 Å, c = 26.9872 Å
α = 90.00°, β = 90.00°, γ = 120.00°
Last column: nearest neighbours and their distance in Å.
Sites, in units of the cell vectors:
1 Pm 0.0000 0.0000 0.5444  3 Dy 3.58, 9 Pm 3.64-3.65
2 Pm 0.6667 0.3333 0.4336  3 Dy 3.60, 9 Pm 3.64-3.65
3 Pm 0.6667 0.3333 0.2209  3 Dy 3.51, 1 Pr 3.58, 6 Pm 3.64
4 Pm 0.0000 0.0000 0.7589  3 Dy 3.57, 6 Pm 3.64, 3 Pr 3.71
5 Pr 0.6667 0.3333 0.0881  3 Dy 3.55, 1 Pm 3.58, 6 Pr 3.64
6 Pr 0.6667 0.3333 0.8721  3 Dy 3.64, 6 Pr 3.64, 3 Pm 3.71
7 Dy 0.0000 0.0000 0.9821  6 Pr 3.55-3.64, 6 Dy 3.64
8 Dy 0.0000 0.0000 0.3252  6 Pm 3.51-3.60, 6 Dy 3.64
9 Dy 0.6667 0.3333 0.6519  6 Pm 3.57-3.58, 6 Dy 3.64